Entry 1:
# PBE CaBe2Rh, relaxed
# - Space group: F-43m (216)
# - Energy relative to the lowest polymorph listed for this composition: 605 meV per atom
# - D(E_F): 2.7 states/eV/f.u.
# - E_tot: -3.94 eV per atom
# - Calculated formation energy: 101 kJ/mol of formula units
# - Total magnetic moment: 0.00 μB per atom
data_CaBe2Rh
_space_group_name_H-M_alt 'P 1'
_space_group_IT_number 1
_cell_length_a 4.388
_cell_length_b 4.388
_cell_length_c 4.388
_cell_angle_alpha 60.00
_cell_angle_beta 60.00
_cell_angle_gamma 60.00
loop_
_space_group_symop_operation_xyz
'x,y,z'
loop_
_atom_site_label
_atom_site_type_symbol
_atom_site_fract_x
_atom_site_fract_y
_atom_site_fract_z
Be1 Be 0.000 0.000 0.000
Be2 Be 0.750 0.750 0.750
Ca1 Ca 0.500 0.500 0.500
Rh1 Rh 0.250 0.250 0.250

***

Entry 2:
# PBE CaBe2Rh, relaxed
# - Space group: C2/m (12)
# - Energy relative to the lowest polymorph listed for this composition: 604 meV per atom
# - D(E_F): 2.2 states/eV/f.u.
# - E_tot: -3.94 eV per atom
# - Calculated formation energy: 101 kJ/mol of formula units
# - Total magnetic moment: 0.00 μB per atom
data_CaBe2Rh
_space_group_name_H-M_alt 'P 1'
_space_group_IT_number 1
_cell_length_a 4.433
_cell_length_b 4.433
_cell_length_c 3.018
_cell_angle_alpha 89.92
_cell_angle_beta 89.92
_cell_angle_gamma 105.78
loop_
_space_group_symop_operation_xyz
'x,y,z'
loop_
_atom_site_label
_atom_site_type_symbol
_atom_site_fract_x
_atom_site_fract_y
_atom_site_fract_z
Be1 Be 0.000 0.000 0.000
Be2 Be 0.500 0.500 0.000
Ca1 Ca 0.500 0.000 0.500
Rh1 Rh 0.000 0.500 0.500